Computed, not measured: an optimized crystal structure of UOsRh at the PBE level of DFT.

Cell lengths 2.971, 2.971, 6.196 Å; angles 103.87, 103.87, 90.00 degrees
Element x y z (fractional)
1 Os 0.999 0.999 0.998
2 U 0.661 0.661 0.323
3 Rh 0.340 0.340 0.679

Values from the calculation:
D(E_F) ... 3.89 states/eV per cell
Total magnetic moment ... 0.00 μB per formula unit
Space-group type ... I4mm (107)
E_form ... 0.2 eV/f.u.
Polymorph energy (0 for the lowest one) ... 117 meV per atom

---

Computed, not measured: an optimized crystal structure of Cr2ReSb at the PBE level of DFT.

Cell lengths 5.037, 5.037, 5.037 Å; angles 142.88, 129.56, 64.27 degrees
Element x y z (fractional)
1 Cr 0.998 0.998 0.000
2 Cr 0.502 0.502 0.000
3 Re 0.750 0.250 0.500
4 Sb 0.250 0.750 0.500

Values from the calculation:
Energy relative to the elements, uncorrected ... 0.434 eV/atom
D(E_F) ... 4.13 states/eV per cell
Total magnetic moment ... 0.00 μB per formula unit
Space-group type ... Immm (71)

---

Computed, not measured: an optimized crystal structure of NdEuAg at the PBE level of DFT.

Cell lengths 5.242, 5.242, 5.242 Å; angles 60.00, 60.00, 60.00 degrees
Element x y z (fractional)
1 Eu 0.000 0.000 0.000
2 Nd 0.500 0.500 0.500
3 Ag 0.250 0.250 0.250

Values from the calculation:
D(E_F) ... 4.37 states/eV per cell
Total magnetic moment ... 7.53 μB per formula unit
Space-group type ... F-43m (216)
E_form ... 0.1 eV/f.u.
Polymorph energy (0 for the lowest one) ... 167 meV per atom

---

Computed, not measured: an optimized crystal structure of YCd3Si at the PBE level of DFT.

Cell lengths 5.759, 5.759, 5.759 Å; angles 90.00, 90.00, 90.00 degrees
Element x y z (fractional)
1 Y 0.000 0.000 0.000
2 Si 0.500 0.500 0.500
3 Cd 0.000 0.500 0.000
4 Cd 0.000 0.000 0.500
5 Cd 0.500 0.000 0.000

Values from the calculation:
Energy relative to the elements, uncorrected ... 1.162 eV/atom
D(E_F) ... 5.62 states/eV per cell
Total magnetic moment ... 0.00 μB per formula unit
Space-group type ... Pm-3m (221)
Polymorph energy (0 for the lowest one) ... 862 meV per atom

---

> What is the formula in the second record?

Cr2ReSb